This record from Alexandria describes an optimized crystal structure of NaLi2Pr. The functional is PBE-GGA.

Values from the calculation:
space-group type: R3m (160)
D(E_F): 2.86 states/eV/f.u.
offset from the most stable computed form: 0.0 meV per atom
E_tot: -2.380 eV per atom

abc: 11.502 11.502 11.502
angles: 17.35 17.35 17.35
Sites, in units of the cell vectors:
Na 0.000 0.000 0.000
Li 0.417 0.417 0.417
Li 0.584 0.584 0.584
Pr 0.167 0.167 0.167